Entry 1:
Sr2Bi2S after structural relaxation, computed with GGA-PBE.

- V: 351.2 Å³ per cell

Structure (extended XYZ):
```
10
Lattice="8.059 0.000 0.000 0.000 8.059 0.000 0.000 0.000 5.407" Properties=species:S:1:pos:R:3 pbc="T T T"
Sr 1.452 2.577 0.000
Sr 2.577 6.607 0.000
Sr 5.482 1.452 0.000
Sr 6.607 5.482 0.000
Bi 1.026 5.056 2.703
Bi 3.003 1.026 2.703
Bi 5.056 7.033 2.703
Bi 7.033 3.003 2.703
S 0.000 0.000 0.000
S 4.030 4.030 0.000
```



Entry 2:
Os3Pb after structural relaxation, computed with GGA-PBE.

- Energy of formation from the pure elements: 4.174 eV per atom
- V: 133.1 Å³ per cell

Structure (extended XYZ):
```
4
Lattice="5.105 0.000 0.000 0.000 5.105 0.000 0.000 0.000 5.105" Properties=species:S:1:pos:R:3 pbc="T T T"
Os 0.000 0.000 2.553
Os 0.000 2.553 0.000
Os 2.553 0.000 0.000
Pb 0.000 0.000 0.000
```



Entry 3:
SrTa2CuTc after structural relaxation, computed with GGA-PBE.

- Energy of formation from the pure elements: 3.033 eV per atom
- V: 110.4 Å³ per cell

Structure (extended XYZ):
```
5
Lattice="4.875 0.000 0.000 0.000 4.875 0.000 0.000 0.000 4.644" Properties=species:S:1:pos:R:3 pbc="T T T"
Sr 0.000 0.000 0.000
Ta 0.000 2.437 0.000
Ta 2.437 0.000 0.000
Cu 2.437 2.437 2.322
Tc 0.000 0.000 2.322
```



Entry 4:
Nb4ZnRu5 after structural relaxation, computed with GGA-PBE.

- Energy of formation from the pure elements: -0.242 eV per atom
- V: 157.2 Å³ per cell

Structure (extended XYZ):
```
10
Lattice="3.195 0.000 0.000 0.000 3.195 0.000 0.000 0.000 15.396" Properties=species:S:1:pos:R:3 pbc="T T T"
Nb 0.000 0.000 1.583
Nb 0.000 0.000 4.782
Nb 0.000 0.000 10.614
Nb 0.000 0.000 13.813
Zn 0.000 0.000 7.698
Ru 1.598 1.598 0.000
Ru 1.598 1.598 3.115
Ru 1.598 1.598 6.203
Ru 1.598 1.598 9.193
Ru 1.598 1.598 12.281
```



Entry 5:
TiNb3Al4 after structural relaxation, computed with GGA-PBE.

- Energy of formation from the pure elements: -0.285 eV per atom
- V: 268.2 Å³ per cell

Structure (extended XYZ):
```
16
Lattice="9.106 0.000 0.000 0.000 5.762 0.000 0.000 0.000 5.111" Properties=species:S:1:pos:R:3 pbc="T T T"
Ti 0.000 0.651 0.000
Ti 4.553 5.111 2.556
Nb 0.000 3.619 4.649
Nb 2.006 0.697 3.157
Nb 2.547 5.064 0.602
Nb 4.553 2.143 2.094
Nb 6.559 5.064 0.602
Nb 7.100 0.697 3.157
Al 0.000 2.276 2.188
Al 0.000 4.864 2.116
Al 2.214 2.180 0.582
Al 2.339 3.582 3.138
Al 4.553 0.898 4.671
Al 4.553 3.486 4.743
Al 6.767 3.582 3.138
Al 6.892 2.180 0.582
```



Entry 6:
Rb2SnF7 after structural relaxation, computed with GGA-PBE.

- Energy above the most stable polymorph in this dataset: 0.068 eV per atom
- V: 193.7 Å³ per cell

Structure (extended XYZ):
```
10
Lattice="-3.193 3.193 4.749 3.193 -3.193 4.749 3.193 3.193 -4.749" Properties=species:S:1:pos:R:3 pbc="T T T"
Rb 3.193 0.000 2.375
Rb 0.000 3.193 2.375
Sn 0.000 0.000 0.000
F 0.000 0.000 1.997
F 1.414 1.414 0.000
F 1.779 -1.779 4.749
F 0.000 0.000 4.749
F -1.779 1.779 4.749
F 1.779 1.779 4.749
F 0.000 0.000 7.502
```



Entry 7:
Np3SiS2O6 after structural relaxation, computed with GGA-PBE.

- V: 179.8 Å³ per cell

Structure (extended XYZ):
```
12
Lattice="5.921 -3.114 0.000 5.921 3.114 0.000 -0.638 0.000 4.875" Properties=species:S:1:pos:R:3 pbc="T T T"
Np 0.000 0.000 0.000
Np 2.642 1.557 2.437
Np 2.642 -1.557 2.437
Si 5.602 0.000 2.437
S 1.878 0.000 4.436
S 9.327 0.000 0.439
O 4.771 1.495 3.454
O 6.434 1.495 1.421
O 4.120 0.000 1.633
O 7.084 0.000 3.242
O 4.771 -1.495 3.454
O 6.434 -1.495 1.421
```



Entry 8:
Tb4Ho4Cd after structural relaxation, computed with GGA-PBE.

- Energy of formation from the pure elements: -0.013 eV per atom
- V: 272.2 Å³ per cell

Structure (extended XYZ):
```
9
Lattice="-5.244 5.244 2.474 5.244 -5.244 2.474 5.244 5.244 -2.474" Properties=species:S:1:pos:R:3 pbc="T T T"
Tb 3.491 0.000 0.000
Tb 6.996 0.000 0.000
Tb 0.000 3.491 0.000
Tb 0.000 6.996 0.000
Ho 3.523 3.523 0.000
Ho 1.721 -1.721 2.474
Ho -1.721 1.721 2.474
Ho 1.721 1.721 2.474
Cd 0.000 0.000 0.000
```



| no. | E (Ha/atom) |
| --- | --- |
| 1 | -0.1438 |
| 2 | -0.1902 |
| 3 | -0.1814 |
| 4 | -0.3320 |
| 5 | -0.2543 |
| 6 | -0.1559 |
| 7 | -0.3284 |
| 8 | -0.1546 |